# MgRe

Crystalline MgRe at its relaxed geometry (PBE, OQMD via LeMat-Bulk).

Structure (POSCAR):
```
MgRe
1.0
4.551 0.000 0.000
0.000 7.150 2.550
0.000 -7.150 2.550
Mg Re
5 5
Cartesian
0.000 0.000 0.000
0.000 -4.356 2.455
0.000 4.356 2.455
2.275 -2.783 1.522
2.275 2.783 1.522
0.000 -1.269 2.598
0.000 1.269 2.598
2.275 0.000 1.474
2.275 -1.246 3.932
2.275 1.246 3.932
```

Results
Energy in eV/atom: -6.662
Calculated volume in A^3/atom: 16.6
Spin magnetization in μB per atom: 0.000
Crystal system: orthorhombic
Offset from the most stable computed form in kcal/mol of atoms: 5.78